A relaxed Mn2NbHgSb crystal. Source: Alexandria via LeMat-Bulk, functional PBE.

Geometry as POSCAR:
```
Mn2NbHgSb
1.0
4.7387 0.0000 0.0000
0.0000 4.7387 0.0000
0.0000 0.0000 5.1964
Mn Nb Hg Sb
2 1 1 1
Cartesian
0.0000 2.3693 0.0000
2.3693 0.0000 0.0000
0.0000 0.0000 2.5982
0.0000 0.0000 0.0000
2.3693 2.3693 2.5982
```

- raw total energy (eV per atom) = -4.641
- N(E_F) (states/eV/cell) = 9.63
- space-group type = No. 123
- volume (Å³ per cell) = 116.69



A relaxed HfZrB4 crystal. Source: Alexandria via LeMat-Bulk, functional PBE.

Geometry as POSCAR:
```
HfZrB4
1.0
3.1610 0.0000 0.0000
0.0000 3.5230 0.0000
0.0000 0.0000 5.4752
Hf Zr B
1 1 4
Cartesian
0.0000 0.0000 0.0000
1.5805 0.0000 2.7376
0.0000 1.7615 1.8167
0.0000 1.7615 3.6585
1.5805 1.7615 0.9029
1.5805 1.7615 4.5723
```

- raw total energy (eV per atom) = -8.540
- formation energy (meV/atom) = -1005
- N(E_F) (states/eV/cell) = 0.84
- space-group type = No. 47
- volume (Å³ per cell) = 60.97